# Cs2ThFe2O6

Crystalline Cs2ThFe2O6 at its relaxed geometry (PBE with a Hubbard U, the Alexandria database).

## Properties
* density: 5.1 g cm⁻³
* electronic total energy: -6.5299 eV per atom

Structure (POSCAR):
```
Cs2ThFe2O6
1.0
3.185 1.839 6.562
-3.185 1.839 6.562
0.000 -3.678 6.562
Cs Th Fe O
2 1 2 6
Cartesian
0.000 0.000 4.109
0.000 0.000 15.579
0.000 0.000 0.000
0.000 0.000 7.956
0.000 0.000 11.731
0.000 -1.827 7.971
-1.582 0.914 7.971
-1.582 -0.914 11.716
1.582 0.914 7.971
1.582 -0.914 11.716
0.000 1.827 11.716
```